1.
32
Lattice="-3.1141 -5.1764 -3.7244 10.7323 -5.6986 -1.0535 -2.0682 -5.6721 9.6127" Properties=species:S:1:pos:R:3 comment="PBE-GGA PrY5Sc2, optimized geometry" final_energy_ev_per_atom=-6.1815 vol_a3_per_atom=30.705 magmom_total_mub_per_fu=0.00 formation_energy_ev_per_fu=0.3 pbc="T T T"
Pr 1.4037 -9.2696 4.9483
Pr 4.1463 -7.2775 -0.1135
Pr -1.2392 -4.4811 0.5029
Pr 6.7892 -12.0660 4.3318
Y -2.1021 -9.1141 4.2088
Y 6.0609 -10.0780 -1.2771
Y 2.2905 -4.5714 1.1320
Y 4.8508 -9.3306 5.6058
Y 7.6521 -7.4330 0.6260
Y -0.5109 -6.4691 6.1118
Y 3.2595 -11.9756 3.7027
Y 0.6992 -7.2164 -0.7711
Y 1.1669 -4.0347 -2.1294
Y 4.3831 -12.5123 6.9641
Y 0.0509 -6.8273 2.6850
Y 5.4991 -9.7198 2.1497
Y 0.6710 -7.1188 9.3330
Y 7.9931 -4.2519 -0.7739
Y 1.5976 -4.2257 4.5372
Y 7.0665 -7.1450 4.0219
Y -2.3509 -3.9077 -2.8116
Y 3.5688 -6.9541 3.3667
Y -0.7633 -1.2687 -0.9128
Y 1.9812 -9.5930 1.4680
Sc 8.3070 -9.4577 6.1990
Sc 0.3572 -1.9130 2.3601
Sc 5.7421 -4.7107 1.7460
Sc 2.9220 -6.6600 6.8132
Sc -3.3977 -6.7649 1.9795
Sc 4.6156 -4.0968 -1.4243
Sc -1.7846 -4.0836 3.9088
Sc 3.0025 -6.7781 -3.3536

=====

2.
20
Lattice="-2.2700 1.4817 0.7839 0.8391 -3.0864 8.2639 5.1965 6.8810 2.0423" Properties=species:S:1:pos:R:3 comment="PBE-GGA Mg2TiCo5B2, optimized geometry" final_energy_ev_per_atom=-6.2846 vol_a3_per_atom=11.079 magmom_total_mub_per_fu=0.07 formation_energy_ev_per_fu=-2.9 pbc="T T T"
Mg 1.4901 -0.8701 5.9600
Mg 4.5455 4.6648 4.3462
Mg 1.8254 1.6726 2.1247
Mg 4.2102 2.1220 8.1815
Ti 0.0000 0.0000 0.0000
Ti 3.0178 1.8973 5.1531
Co -0.5931 0.5260 2.3674
Co 4.3586 4.7503 8.7227
Co 2.9645 5.8821 2.5460
Co 1.7136 1.4817 7.2411
Co 0.8010 -0.6058 8.5441
Co 2.0519 3.7945 3.8490
Co 3.0945 3.9555 6.5641
Co 0.6710 1.3208 4.5260
Co -0.7155 -0.8024 4.5239
Co 1.4632 4.1813 1.4131
B 3.3268 3.8986 2.2653
B 2.7087 -0.1040 8.0410
B 5.0900 4.1346 6.9253
B 0.9455 -0.3400 3.3809

=====

3.
6
Lattice="4.1234 0.0032 -0.4528 2.0584 3.5937 -0.2334 1.0513 0.0484 9.0311" Properties=species:S:1:pos:R:3 comment="PBE-GGA TaFeGeTe2Pd, optimized geometry" formation_energy_uncorrected_mev_per_atom=-279 final_energy_ev_per_atom=-6.3472 vol_a3_per_atom=22.580 magmom_total_mub_per_fu=1.36 pbc="T T T"
Ge 2.4458 0.6798 7.7964
Te 3.7798 1.8366 1.4885
Te 4.2157 1.8732 4.9210
Fe 4.5269 1.8789 7.7551
Pd 6.4134 3.0748 5.9339
Ta 5.6659 3.0320 -0.3210

=====

4.
8
Lattice="3.7935 0.0000 0.0000 0.0000 3.7935 0.0000 1.8967 1.8967 7.4072" Properties=species:S:1:pos:R:3 comment="PBE-GGA HfB2Rh, optimized geometry" final_energy_ev_per_atom=-7.7952 vol_a3_per_atom=13.324 magmom_total_mub_per_fu=0.00 formation_energy_ev_per_fu=-0.5 pbc="T T T"
Rh 1.8967 1.8967 0.0000
Rh 1.8967 3.7935 3.7036
B 1.8960 0.9484 1.8518
B 1.8975 2.8451 1.8518
B 2.8451 3.7942 5.5554
B 4.7418 3.7927 5.5554
Hf 0.0000 0.0000 0.0000
Hf 3.7935 1.8967 3.7036

=====

5.
5
Lattice="4.6148 0.0000 0.0000 0.0000 4.6148 0.0000 0.0000 0.0000 4.6148" Properties=species:S:1:pos:R:3 comment="PBE-GGA NaMn3Si, optimized geometry" formation_energy_uncorrected_mev_per_atom=1749 final_energy_ev_per_atom=-5.1011 vol_a3_per_atom=19.655 magmom_total_mub_per_fu=11.50 pbc="T T T"
Na 0.0000 0.0000 0.0000
Si 2.3074 2.3074 2.3074
Mn 0.0000 2.3074 0.0000
Mn 0.0000 0.0000 2.3074
Mn 2.3074 0.0000 0.0000

=====

6.
12
Lattice="4.2879 0.0000 0.0000 0.0000 7.2876 0.0000 0.0000 0.0000 6.5719" Properties=species:S:1:pos:R:3 comment="PBE-GGA HfAlIr, optimized geometry" final_energy_ev_per_atom=-8.4016 vol_a3_per_atom=17.113 magmom_total_mub_per_fu=0.00 formation_energy_ev_per_fu=-2.6 pbc="T T T"
Hf 1.0720 5.8582 3.2272
Hf 3.2159 2.2144 0.0587
Hf 1.0720 5.0732 6.5132
Hf 3.2159 1.4294 3.3447
Al 3.2159 6.4403 1.3918
Al 3.2159 4.4911 4.6777
Al 1.0720 0.8473 5.1801
Al 1.0720 2.7965 1.8942
Ir 3.2159 4.0443 2.1945
Ir 3.2159 6.8872 5.4805
Ir 1.0720 0.4004 1.0914
Ir 1.0720 3.2434 4.3774